Entry 1:
A relaxed La6Nd2In crystal. Source: Alexandria via LeMat-Bulk, functional PBE.

It has space group R3m (No. 160, hexagonal axes), with a = 7.4298 Å, b = 7.4298 Å, c = 21.8519 Å, α = 90.00°, β = 90.00° and γ = 120.00°. The inequivalent atoms are La at (0.0009, 0.5004, 0.0000), La at (0.1791, 0.3581, 0.5415), Nd at (0.0000, 0.0000, 0.0201), Nd at (0.0000, 0.0000, 0.1907) and In at (0.0000, 0.0000, 0.4418).

For the size of the total moment, the calculation gives 0.000 μB/cell. Its calculated formation energy is 0.14 eV per atom. The energy above the most stable polymorph in this dataset comes out at 1.963 eV/f.u.

Entry 2:
A relaxed P3Cl crystal. Source: Alexandria via LeMat-Bulk, functional PBE.

It has space group R-3m (No. 166, hexagonal axes), with a = 3.6425 Å, b = 3.6425 Å, c = 18.4067 Å, α = 90.00°, β = 90.00° and γ = 120.00°. The inequivalent atoms are P at (0.0000, 0.0000, 0.0000), P at (0.0000, 0.0000, 0.2728) and Cl at (0.0000, 0.0000, 0.5000).

For the size of the total moment, the calculation gives 0.000 μB/cell. The formation energy without anion corrections comes out at 131 kJ/mol of formula units. The energy above the most stable polymorph in this dataset comes out at 0.483 eV/f.u.

Entry 3:
A relaxed Nd12Tm3In crystal. Source: Alexandria via LeMat-Bulk, functional PBE.

It has space group P4/mmm (No. 123), with a = 5.082 Å, b = 5.082 Å, c = 20.561 Å, α = 90.00°, β = 90.00° and γ = 90.00°. The inequivalent atoms are Nd at (0.000, 0.000, 0.000), Nd at (0.000, 0.000, 0.248), Nd at (0.000, 0.000, 0.500), Nd at (0.000, 0.500, 0.121), Nd at (0.000, 0.500, 0.374), Tm at (0.500, 0.500, 0.248), Tm at (0.500, 0.500, 0.500) and In at (0.500, 0.500, 0.000).

For the size of the total moment, the calculation gives 0.000 μB/cell. Its calculated formation energy is -0.05 eV per atom.

Entry 4:
A relaxed Ac3Sn2HgPd8 crystal. Source: Alexandria via LeMat-Bulk, functional PBE.

It has space group P-3m1 (No. 164), with a = 5.6867 Å, b = 5.6867 Å, c = 11.1185 Å, α = 90.00°, β = 90.00° and γ = 120.00°. The inequivalent atoms are Ac at (0.0000, 0.0000, 0.0000), Ac at (0.3333, 0.6667, 0.5949), Sn at (0.3333, 0.6667, 0.1049), Hg at (0.0000, 0.0000, 0.5000), Pd at (0.1637, 0.3275, 0.2890) and Pd at (0.3333, 0.6667, 0.8660).

For the size of the total moment, the calculation gives 0.000 μB/cell. Its calculated formation energy is -0.63 eV per atom.

Entry 5:
A relaxed Mg2IO crystal. Source: Alexandria via LeMat-Bulk, functional PBE.

It has space group Fm-3m (No. 225), with a = 6.727 Å, b = 6.727 Å, c = 6.727 Å, α = 90.00°, β = 90.00° and γ = 90.00°. The inequivalent atoms are Mg at (0.250, 0.250, 0.250), I at (0.000, 0.000, 0.000) and O at (0.000, 0.000, 0.500).

For the size of the total moment, the calculation gives 0.000 μB/cell. The formation energy without anion corrections comes out at -108 kJ/mol of formula units. The energy above the most stable polymorph in this dataset comes out at 4.128 eV/f.u.

Entry 6:
A relaxed DyScCuPt crystal. Source: Alexandria via LeMat-Bulk, functional PBE.

It has space group Amm2 (No. 38), with a = 4.340 Å, b = 3.608 Å, c = 10.336 Å, α = 90.00°, β = 90.00° and γ = 90.00°. The inequivalent atoms are Dy at (0.000, 0.000, 0.000), Sc at (0.500, 0.000, 0.280), Cu at (0.500, 0.000, 0.565) and Pt at (0.000, 0.000, 0.723).

For the size of the total moment, the calculation gives 0.000 μB/cell. Its calculated formation energy is -0.77 eV per atom. The energy above the most stable polymorph in this dataset comes out at 0.000 eV/f.u.

Entry 7:
A relaxed SrAl3V crystal. Source: Alexandria via LeMat-Bulk, functional PBE.

It has space group Pm-3m (No. 221), with a = 4.902 Å, b = 4.902 Å, c = 4.902 Å, α = 90.00°, β = 90.00° and γ = 90.00°. The inequivalent atoms are Sr at (0.000, 0.000, 0.000), Al at (0.000, 0.500, 0.500) and V at (0.500, 0.500, 0.500).

For the size of the total moment, the calculation gives 0.000 μB/cell. Its calculated formation energy is 0.08 eV per atom. The energy above the most stable polymorph in this dataset comes out at 0.000 eV/f.u.

Entry 8:
A relaxed GaReNi crystal. Source: Alexandria via LeMat-Bulk, functional PBE.

It has space group I4/mmm (No. 139), with a = 2.742 Å, b = 2.742 Å, c = 22.521 Å, α = 90.00°, β = 90.00° and γ = 90.00°. The inequivalent atoms are Ga at (0.000, 0.000, 0.056), Re at (0.000, 0.000, 0.206) and Ni at (0.000, 0.000, 0.372).

For the size of the total moment, the calculation gives 0.000 μB/cell. Its calculated formation energy is -0.07 eV per atom.

Entry 9:
A relaxed Ce8TcBi2 crystal. Source: Alexandria via LeMat-Bulk, functional PBE.

It has space group C2/m (No. 12), with a = 17.806 Å, b = 5.589 Å, c = 6.541 Å, α = 90.00°, β = 107.69° and γ = 90.00°. The inequivalent atoms are Ce at (0.013, 0.000, 0.299), Ce at (0.090, 0.500, 0.231), Ce at (0.138, 0.500, 0.786), Ce at (0.239, 0.000, 0.634), Tc at (0.000, 0.500, 0.500) and Bi at (0.167, 0.000, 0.090).

For the size of the total moment, the calculation gives 11.922 μB/cell. Its calculated formation energy is -0.22 eV per atom.

Entry 10:
A relaxed TbPmPb2 crystal. Source: Alexandria via LeMat-Bulk, functional PBE.

It has space group P4/mmm (No. 123), with a = 5.064 Å, b = 5.064 Å, c = 4.524 Å, α = 90.00°, β = 90.00° and γ = 90.00°. The inequivalent atoms are Tb at (0.000, 0.000, 0.000), Pm at (0.500, 0.500, 0.000) and Pb at (0.000, 0.500, 0.500).

For the size of the total moment, the calculation gives 0.008 μB/cell. Its calculated formation energy is -0.47 eV per atom.

Entry 11:
A relaxed Pu3Tl2Bi crystal. Source: Alexandria via LeMat-Bulk, functional PBE.

It has space group P-3m1 (No. 164), with a = 5.4438 Å, b = 5.4438 Å, c = 6.6558 Å, α = 90.00°, β = 90.00° and γ = 120.00°. The inequivalent atoms are Pu at (0.0000, 0.0000, 0.0000), Pu at (0.3333, 0.6667, 0.6417), Tl at (0.3333, 0.6667, 0.1386) and Bi at (0.0000, 0.0000, 0.5000).

For the size of the total moment, the calculation gives 17.485 μB/cell. Its calculated formation energy is -0.10 eV per atom.

Entry 12:
A relaxed PaTiN crystal. Source: Alexandria via LeMat-Bulk, functional PBE.

It has space group Amm2 (No. 38), with a = 10.884 Å, b = 3.162 Å, c = 5.394 Å, α = 90.00°, β = 90.00° and γ = 90.00°. The inequivalent atoms are Pa at (0.000, 0.000, 0.000), Pa at (0.500, 0.000, 0.163), Ti at (0.250, 0.000, 0.669) and N at (0.157, 0.000, 0.334).

For the size of the total moment, the calculation gives 0.000 μB/cell. The formation energy without anion corrections comes out at -298 kJ/mol of formula units. The energy above the most stable polymorph in this dataset comes out at 0.000 eV/f.u.